# K4SrMg (PBE, relaxed)
data_K4SrMg
_space_group_name_H-M_alt 'F -4 3 m'
_space_group_IT_number 216
_space_group_name_Hall 'F -4 2 3'
_cell_length_a 11.217
_cell_length_b 11.217
_cell_length_c 11.217
_cell_angle_alpha 90.00
_cell_angle_beta 90.00
_cell_angle_gamma 90.00
loop_
_atom_site_label
_atom_site_type_symbol
_atom_site_fract_x
_atom_site_fract_y
_atom_site_fract_z
K1 K 0.124 0.124 0.124
Sr1 Sr 0.000 0.000 0.500
Mg1 Mg 0.250 0.250 0.750
# formation enthalpy at 0 K	0.267	eV per atom
# volume	1411.3	Å³ per cell
# crystal system	cubic

=====

# LaAgRu2 (PBE, relaxed)
data_LaAgRu2
_space_group_name_H-M_alt 'P 1 2/m 1'
_space_group_IT_number 10
_space_group_name_Hall '-P 2y'
_cell_length_a 4.854
_cell_length_b 3.126
_cell_length_c 5.157
_cell_angle_alpha 90.00
_cell_angle_beta 109.03
_cell_angle_gamma 90.00
loop_
_atom_site_label
_atom_site_type_symbol
_atom_site_fract_x
_atom_site_fract_y
_atom_site_fract_z
La1 La 0.000 0.000 0.000
Ag1 Ag 0.000 0.500 0.500
Ru1 Ru 0.500 0.000 0.500
Ru2 Ru 0.500 0.500 0.000
# formation enthalpy at 0 K	0.327	eV per atom
# volume	74.0	Å³ per cell
# crystal system	monoclinic
# energy relative to the lowest polymorph listed for this composition	0.140	eV per atom

=====

# TaRuSe2N (PBE, relaxed)
data_TaRuSe2N
_space_group_name_H-M_alt 'P 4/m m m'
_space_group_IT_number 123
_space_group_name_Hall '-P 4 2'
_cell_length_a 5.019
_cell_length_b 5.019
_cell_length_c 3.614
_cell_angle_alpha 90.00
_cell_angle_beta 90.00
_cell_angle_gamma 90.00
loop_
_atom_site_label
_atom_site_type_symbol
_atom_site_fract_x
_atom_site_fract_y
_atom_site_fract_z
Ta1 Ta 0.000 0.000 0.000
Ru1 Ru 0.500 0.500 0.500
Se1 Se 0.000 0.500 0.500
N1 N 0.500 0.500 0.000
# volume	91.0	Å³ per cell
# crystal system	tetragonal
# uncorrected formation energy	0.6556	eV/atom
# energy relative to the lowest polymorph listed for this composition	0.071	eV per atom

=====

# Th2InAu4 (PBE, relaxed)
data_Th2InAu4
_space_group_name_H-M_alt 'R -3 m'
_space_group_IT_number 166
_space_group_name_Hall '-R 3 2"'
_cell_length_a 4.5639
_cell_length_b 4.5639
_cell_length_c 29.7780
_cell_angle_alpha 90.00
_cell_angle_beta 90.00
_cell_angle_gamma 120.00
loop_
_atom_site_label
_atom_site_type_symbol
_atom_site_fract_x
_atom_site_fract_y
_atom_site_fract_z
Th1 Th 0.0000 0.0000 0.2462
In1 In 0.0000 0.0000 0.0000
Au1 Au 0.0000 0.0000 0.1409
Au2 Au 0.0000 0.0000 0.3693
# formation enthalpy at 0 K	-0.529	eV per atom
# volume	537.2	Å³ per cell
# crystal system	trigonal

=====

# K2Na12TlCd3 (PBE, relaxed)
data_K2Na12TlCd3
_space_group_name_H-M_alt 'R -3 m'
_space_group_IT_number 166
_space_group_name_Hall '-R 3 2"'
_cell_length_a 8.4129
_cell_length_b 8.4129
_cell_length_c 35.1225
_cell_angle_alpha 90.00
_cell_angle_beta 90.00
_cell_angle_gamma 120.00
loop_
_atom_site_label
_atom_site_type_symbol
_atom_site_fract_x
_atom_site_fract_y
_atom_site_fract_z
K1 K 0.0000 0.0000 0.1498
Na1 Na 0.0478 0.5239 0.0974
Na2 Na 0.0644 0.5322 0.6225
Tl1 Tl 0.0000 0.0000 0.5000
Cd1 Cd 0.0000 0.5000 0.0000
# formation enthalpy at 0 K	0.076	eV per atom
# volume	2152.8	Å³ per cell
# crystal system	trigonal

=====

# TbPuU2Sb4 (PBE, relaxed)
data_TbPuU2Sb4
_space_group_name_H-M_alt 'P 1 2/m 1'
_space_group_IT_number 10
_space_group_name_Hall '-P 2y'
_cell_length_a 7.570
_cell_length_b 4.349
_cell_length_c 7.702
_cell_angle_alpha 90.00
_cell_angle_beta 108.87
_cell_angle_gamma 90.00
loop_
_atom_site_label
_atom_site_type_symbol
_atom_site_fract_x
_atom_site_fract_y
_atom_site_fract_z
Tb1 Tb 0.000 0.000 0.000
Pu1 Pu 0.500 0.500 0.000
U1 U 0.000 0.500 0.500
U2 U 0.500 0.000 0.500
Sb1 Sb 0.249 0.000 0.748
Sb2 Sb 0.249 0.500 0.251
# volume	240.0	Å³ per cell
# crystal system	monoclinic
# uncorrected formation energy	-0.5113	eV/atom

=====

# Hf7Co2Au2 (PBE, relaxed)
data_Hf7Co2Au2
_space_group_name_H-M_alt 'I m m 2'
_space_group_IT_number 44
_space_group_name_Hall 'I 2 -2'
_cell_length_a 3.311
_cell_length_b 14.375
_cell_length_c 9.080
_cell_angle_alpha 90.00
_cell_angle_beta 90.00
_cell_angle_gamma 90.00
loop_
_atom_site_label
_atom_site_type_symbol
_atom_site_fract_x
_atom_site_fract_y
_atom_site_fract_z
Hf1 Hf 0.000 0.000 0.000
Hf2 Hf 0.000 0.130 0.431
Hf3 Hf 0.000 0.317 0.635
Hf4 Hf 0.000 0.353 0.278
Co1 Co 0.000 0.236 0.945
Au1 Au 0.000 0.000 0.668
Au2 Au 0.000 0.500 0.766
# formation enthalpy at 0 K	-0.327	eV per atom
# volume	432.2	Å³ per cell
# crystal system	orthorhombic
# energy relative to the lowest polymorph listed for this composition	0.000	eV per atom

=====

# KMgInBi2 (PBE, relaxed)
data_KMgInBi2
_space_group_name_H-M_alt 'I -4 m 2'
_space_group_IT_number 119
_space_group_name_Hall 'I -4 -2'
_cell_length_a 4.762
_cell_length_b 4.762
_cell_length_c 15.238
_cell_angle_alpha 90.00
_cell_angle_beta 90.00
_cell_angle_gamma 90.00
loop_
_atom_site_label
_atom_site_type_symbol
_atom_site_fract_x
_atom_site_fract_y
_atom_site_fract_z
K1 K 0.000 0.000 0.000
Mg1 Mg 0.000 0.500 0.750
In1 In 0.000 0.500 0.250
Bi1 Bi 0.000 0.000 0.375
# formation enthalpy at 0 K	-0.296	eV per atom
# volume	345.6	Å³ per cell
# crystal system	tetragonal

=====

- What is the formula in the seventh record?
  Hf7Co2Au2

=====

- What is the formula in the sixth record?
  TbPuU2Sb4

=====

- Which value of volume does entry 7 give?
  432.2 Å³ per cell